Computed, not measured: an optimized crystal structure of Cu2MoPb2O6 at the PBE with a Hubbard U level of DFT.

For the total energy, the calculation gives -5.7771 eV per atom. The value obtained for the calculated density is 7.83 g/cm³.

The space group is R-3m (No. 166, hexagonal axes) and the conventional cell measures 5.9938, 5.9938 and 15.0064 Å, with angles of 90.00, 90.00 and 120.00 degrees. The asymmetric unit holds Cu at (0.0000, 0.0000, 0.0873), Mo at (0.0000, 0.0000, 0.5000), Pb at (0.0000, 0.0000, 0.2864) and O at (0.0365, 0.5183, 0.2480).